12
Lattice="-2.883 0.622 4.242 3.134 -6.345 3.060 5.541 7.210 -0.438" Properties=species:S:1:pos:R:3 comment="PBE-GGA Na6LiHg5, relaxed" formation_energy_ev_per_atom=-0.204 rho_g_cm3=6.11 dft_energy_ev_per_atom=-1.1484 magmom_total_mub_per_cell=0.00 pbc="T T T"
Na 3.059 1.631 4.985
Na 1.530 4.725 3.493
Na 0.876 -4.380 4.383
Na -0.624 -1.343 2.919
Na 4.262 -3.238 3.371
Na 2.734 -0.144 1.879
Hg 0.338 1.676 3.130
Hg 3.749 2.877 2.126
Hg 1.567 -3.173 1.530
Hg 2.044 -1.390 4.738
Hg 5.455 -0.189 3.734
Li 0.000 0.000 0.000

18
Lattice="-1.670 -3.026 -5.112 7.093 -4.589 0.400 -7.009 -2.700 3.888" Properties=species:S:1:pos:R:3 comment="PBE-GGA NaLi3Hg5, relaxed" formation_energy_ev_per_atom=-0.239 rho_g_cm3=9.09 dft_energy_ev_per_atom=-1.1912 magmom_total_mub_per_cell=0.00 pbc="T T T"
Na 0.000 0.000 0.000
Na -0.835 -1.513 -2.556
Li -1.223 -4.843 -2.320
Li 1.306 -8.606 -0.919
Li 3.336 -5.239 -3.575
Li -0.363 -5.473 1.496
Li -2.892 -1.710 0.095
Li 2.087 -2.377 -1.137
Hg 2.393 -3.960 1.563
Hg -3.143 -4.843 0.169
Hg -2.308 -3.330 2.725
Hg 1.558 -5.473 -0.993
Hg -1.195 -7.240 -0.910
Hg 3.611 -7.718 -2.197
Hg 1.004 -3.730 -3.707
Hg -0.390 -3.076 0.086
Hg -5.196 -2.597 1.373
Hg 4.419 -3.886 -1.005

7
Lattice="-3.466 2.187 4.260 -1.678 -3.996 -2.027 4.928 -3.752 3.129" Properties=species:S:1:pos:R:3 comment="PBE-GGA Na2Li2Hg3, relaxed" formation_energy_ev_per_atom=-0.229 rho_g_cm3=6.46 dft_energy_ev_per_atom=-1.2819 magmom_total_mub_per_cell=0.00 pbc="T T T"
Na -1.933 -0.675 2.911
Na 1.718 -4.887 2.451
Li 1.044 -1.572 2.197
Li -1.260 -3.990 3.165
Hg 0.000 0.000 0.000
Hg 0.666 -2.704 4.667
Hg -0.882 -2.858 0.695

7
Lattice="-1.678 2.012 -4.452 3.281 -3.024 -2.603 -4.667 -3.415 3.212" Properties=species:S:1:pos:R:3 comment="PBE-GGA NaLi4Hg2, relaxed" formation_energy_ev_per_atom=-0.081 rho_g_cm3=5.10 dft_energy_ev_per_atom=-1.4490 magmom_total_mub_per_cell=0.00 pbc="T T T"
Na 0.000 0.000 0.000
Li -2.772 -0.955 -2.384
Li -0.292 -3.473 -1.460
Li -0.839 1.006 -2.226
Li 1.640 -1.512 -1.302
Hg -0.247 -1.570 -3.614
Hg -2.816 -2.857 -0.230

8
Lattice="-0.888 -2.240 2.003 0.691 -5.649 -6.010 6.503 1.732 4.819" Properties=species:S:1:pos:R:3 comment="PBE-GGA Na3Li2Hg3, relaxed" formation_energy_ev_per_atom=-0.225 rho_g_cm3=6.12 dft_energy_ev_per_atom=-1.3116 magmom_total_mub_per_cell=0.00 pbc="T T T"
Na 5.433 -2.958 -0.900
Na 0.169 -1.382 -1.470
Na 1.591 0.424 1.179
Li 4.565 -0.728 1.209
Li 2.628 -3.188 -2.400
Hg 2.473 -2.708 0.518
Hg -0.033 -4.478 -2.571
Hg 3.422 -0.090 3.866

10
Lattice="-2.699 -1.294 2.141 -0.124 -3.076 -2.016 12.258 -7.607 10.852" Properties=species:S:1:pos:R:3 comment="PBE-GGA Na4LiHg5, relaxed" formation_energy_ev_per_atom=-0.263 rho_g_cm3=7.48 dft_energy_ev_per_atom=-1.1325 magmom_total_mub_per_cell=0.00 pbc="T T T"
Na 2.321 -1.441 2.055
Na 4.872 -3.023 4.313
Na 7.387 -4.584 6.539
Na 9.937 -6.167 8.797
Li 0.000 0.000 0.000
Hg -0.382 -2.824 0.974
Hg 2.207 -4.431 3.266
Hg 4.718 -5.989 5.489
Hg 7.228 -7.547 7.712
Hg 9.817 -9.153 10.003